TaCo2Ru: relaxed, GGA-PBE.

The relative energy among the computed polymorphs comes out at 125 meV/atom. For the total DFT energy (no corrections), the calculation gives -8.93 eV/atom.

It has space group Pmm2 (No. 25), with a = 2.744 Å, b = 4.212 Å, c = 4.531 Å, α = 90.00°, β = 90.00° and γ = 90.00°. The inequivalent atoms are Ta at (0.000, 0.000, 0.000), Co at (0.500, 0.000, 0.503), Co at (0.500, 0.500, 0.836) and Ru at (0.000, 0.500, 0.370).